[1]
# ScTiS2N, PBEsol geometry, DFT SCAN
# crystal system: tetragonal
# raw formation energy: -1008 meV per atom
data_ScTiS2N
_chemical_formula_sum 'Sc1 Ti1 S2 N1'
_space_group_name_H-M_alt 'P 4/m m m'
_space_group_IT_number 123
_space_group_name_Hall '-P 4 2'
_cell_length_a 4.703
_cell_length_b 4.703
_cell_length_c 3.727
_cell_angle_alpha 90.00
_cell_angle_beta 90.00
_cell_angle_gamma 90.00
loop_
_atom_site_label
_atom_site_fract_x
_atom_site_fract_y
_atom_site_fract_z
Sc1 0.000 0.000 0.000
Ti1 0.500 0.500 0.500
S1 0.000 0.500 0.500
N1 0.500 0.500 0.000

[2]
# CeI2O6, PBEsol geometry, DFT SCAN
# crystal system: monoclinic
# raw formation energy: -1389 meV per atom
data_CeI2O6
_chemical_formula_sum 'Ce4 I8 O24'
_space_group_name_H-M_alt 'P 1 21/c 1'
_space_group_IT_number 14
_cell_length_a 6.890
_cell_length_b 11.281
_cell_length_c 8.716
_cell_angle_alpha 90.00
_cell_angle_beta 127.29
_cell_angle_gamma 90.00
loop_
_space_group_symop_operation_xyz
'x,y,z'
'-x,-y,-z'
'-x,y+1/2,-z+1/2'
'x,-y+1/2,z+1/2'
loop_
_atom_site_label
_atom_site_fract_x
_atom_site_fract_y
_atom_site_fract_z
Ce1 0.220 0.065 0.220
I1 0.200 0.104 0.677
I2 0.302 0.740 0.337
O1 0.059 0.078 0.416
O2 0.062 0.727 0.383
O3 0.068 0.056 0.913
O4 0.371 0.240 0.698
O5 0.410 0.607 0.952
O6 0.454 0.501 0.282

[3]
# Re2NiMo2S8, PBEsol geometry, DFT SCAN
# crystal system: orthorhombic
# raw formation energy: -696 meV per atom
data_Re2NiMo2S8
_chemical_formula_sum 'Re4 Ni2 Mo4 S16'
_space_group_name_H-M_alt 'I m m 2'
_space_group_IT_number 44
_cell_length_a 6.660
_cell_length_b 6.755
_cell_length_c 9.474
_cell_angle_alpha 90.00
_cell_angle_beta 90.00
_cell_angle_gamma 90.00
loop_
_space_group_symop_operation_xyz
'x,y,z'
'-x,-y,z'
'-x,y,z'
'x,-y,z'
'x+1/2,y+1/2,z+1/2'
'-x+1/2,-y+1/2,z+1/2'
'-x+1/2,y+1/2,z+1/2'
'x+1/2,-y+1/2,z+1/2'
loop_
_atom_site_label
_atom_site_fract_x
_atom_site_fract_y
_atom_site_fract_z
Re1 0.209 0.000 0.000
Ni1 0.000 0.000 0.603
Mo1 0.000 0.208 0.208
S1 0.000 0.271 0.474
S2 0.000 0.272 0.967
S3 0.225 0.500 0.741
S4 0.237 0.500 0.240

[4]
# YMgTl2, PBEsol geometry, DFT SCAN
# crystal system: monoclinic
# calculated formation energy: -0.33 eV/atom
data_YMgTl2
_chemical_formula_sum 'Y2 Mg2 Tl4'
_space_group_name_H-M_alt 'C 1 m 1'
_space_group_IT_number 8
_cell_length_a 10.886
_cell_length_b 4.491
_cell_length_c 4.491
_cell_angle_alpha 90.00
_cell_angle_beta 114.18
_cell_angle_gamma 90.00
loop_
_space_group_symop_operation_xyz
'x,y,z'
'x,-y,z'
'x+1/2,y+1/2,z'
'x+1/2,-y+1/2,z'
loop_
_atom_site_label
_atom_site_fract_x
_atom_site_fract_y
_atom_site_fract_z
Y1 0.000 0.000 0.000
Mg1 0.250 0.500 0.251
Tl1 0.000 0.500 0.499
Tl2 0.250 0.000 0.751

[5]
# ZnOsRu2, PBEsol geometry, DFT SCAN
# crystal system: monoclinic
# calculated formation energy: 0.19 eV/atom
data_ZnOsRu2
_chemical_formula_sum 'Zn2 Os2 Ru4'
_space_group_name_H-M_alt 'C 1 2/m 1'
_space_group_IT_number 12
_cell_length_a 8.852
_cell_length_b 2.686
_cell_length_c 4.599
_cell_angle_alpha 90.00
_cell_angle_beta 99.06
_cell_angle_gamma 90.00
loop_
_space_group_symop_operation_xyz
'x,y,z'
'-x,-y,-z'
'-x,y,-z'
'x,-y,z'
'x+1/2,y+1/2,z'
'-x+1/2,-y+1/2,-z'
'-x+1/2,y+1/2,-z'
'x+1/2,-y+1/2,z'
loop_
_atom_site_label
_atom_site_fract_x
_atom_site_fract_y
_atom_site_fract_z
Zn1 0.000 0.000 0.000
Os1 0.000 0.500 0.500
Ru1 0.244 0.000 0.748

[6]
# ZrIr2Os, PBEsol geometry, DFT SCAN
# crystal system: trigonal
# calculated formation energy: -0.04 eV/atom
data_ZrIr2Os
_chemical_formula_sum 'Zr3 Ir6 Os3'
_space_group_name_H-M_alt 'R -3 m'
_space_group_IT_number 166
_space_group_name_Hall '-R 3 2"'
_cell_length_a 2.7646
_cell_length_b 2.7646
_cell_length_c 27.7402
_cell_angle_alpha 90.00
_cell_angle_beta 90.00
_cell_angle_gamma 120.00
loop_
_atom_site_label
_atom_site_fract_x
_atom_site_fract_y
_atom_site_fract_z
Zr1 0.0000 0.0000 0.0000
Ir1 0.0000 0.0000 0.2447
Os1 0.0000 0.0000 0.5000

[7]
# SiP2O2, PBEsol geometry, DFT SCAN
# crystal system: tetragonal
# raw formation energy: -450 meV per atom
data_SiP2O2
_chemical_formula_sum 'Si1 P2 O2'
_space_group_name_H-M_alt 'P 4/m m m'
_space_group_IT_number 123
_space_group_name_Hall '-P 4 2'
_cell_length_a 3.476
_cell_length_b 3.476
_cell_length_c 4.568
_cell_angle_alpha 90.00
_cell_angle_beta 90.00
_cell_angle_gamma 90.00
loop_
_atom_site_label
_atom_site_fract_x
_atom_site_fract_y
_atom_site_fract_z
Si1 0.000 0.000 0.000
P1 0.500 0.500 0.000
P2 0.500 0.500 0.500
O1 0.000 0.500 0.500

[8]
# AsAuSe2, PBEsol geometry, DFT SCAN
# crystal system: tetragonal
# raw formation energy: 338 meV per atom
data_AsAuSe2
_chemical_formula_sum 'As1 Au1 Se2'
_space_group_name_H-M_alt 'P 4 m m'
_space_group_IT_number 99
_cell_length_a 2.697
_cell_length_b 2.697
_cell_length_c 11.475
_cell_angle_alpha 90.00
_cell_angle_beta 90.00
_cell_angle_gamma 90.00
loop_
_space_group_symop_operation_xyz
'x,y,z'
'-y,x,z'
'-x,-y,z'
'y,-x,z'
'-x,y,z'
'y,x,z'
'x,-y,z'
'-y,-x,z'
loop_
_atom_site_label
_atom_site_fract_x
_atom_site_fract_y
_atom_site_fract_z
As1 0.000 0.000 0.000
Au1 0.500 0.500 0.193
Se1 0.000 0.000 0.438
Se2 0.500 0.500 0.735